No. 1
W2Au | Alexandria | PBE-GGA | optimized geometry; SG = Fd-3m, No. 227; formation energy from the elements = 2.0 eV per formula unit; D(E_F) = 4.6 states/eV per cell; uncorrected energy = -9.06 eV/atom; relative energy among the computed polymorphs = 89 kJ/mol of formula units; V = 105 Å³/cell
1.0
0.000 3.750 3.750
3.750 0.000 3.750
3.750 3.750 0.000
Au W
2 4
Direct
0.750 0.750 0.750 Au
0.500 0.500 0.500 Au
0.125 0.125 0.125 W
0.125 0.125 0.625 W
0.625 0.125 0.125 W
0.125 0.625 0.125 W


No. 2
NdBe2SiRh2 | Alexandria | PBE-GGA | optimized geometry; SG = P4/mmm, No. 123; E_form (uncorrected) = -0.53 eV/f.u.; D(E_F) = 4.4 states/eV per cell; uncorrected energy = -5.48 eV/atom; V = 95 Å³/cell
1.0
-3.235 1.406 2.089
-2.476 -2.395 -2.223
0.632 -4.162 3.781
Nd Rh Si Be
1 2 1 2
Direct
0.000 0.000 0.500 Nd
0.500 0.500 0.759 Rh
0.500 0.500 0.241 Rh
0.000 0.000 0.000 Si
0.500 0.000 0.000 Be
0.000 0.500 0.000 Be


No. 3
HgAuBr2 | Alexandria | PBE-GGA | optimized geometry; SG = R-3m, No. 166; E_form (uncorrected) = -0.03 eV/f.u.; D(E_F) = 0.8 states/eV per cell; uncorrected energy = -1.74 eV/atom; relative energy among the computed polymorphs = 43 kJ/mol of formula units; V = 108 Å³/cell
1.0
7.505 -0.025 -0.015
6.346 4.007 -0.015
6.346 1.824 3.568
Hg Br Au
1 2 1
Direct
0.250 0.250 0.250 Hg
0.012 0.012 0.012 Br
0.488 0.488 0.488 Br
0.750 0.750 0.750 Au


No. 4
CuB2MoRu | Alexandria | PBE-GGA | optimized geometry; SG = P4/mmm, No. 123; formation energy from the elements = 8.3 eV per formula unit; D(E_F) = 5.8 states/eV per cell; uncorrected energy = -5.84 eV/atom; V = 74 Å³/cell
1.0
4.008 0.000 0.000
0.000 4.627 0.000
0.000 0.000 4.008
Cu B Ru Mo
1 2 1 1
Direct
0.000 0.500 0.000 Cu
0.500 0.000 0.000 B
0.000 0.000 0.500 B
0.500 0.500 0.500 Ru
0.000 0.000 0.000 Mo


> Which value of V does entry 1 give?

105 Å³/cell


What did the fourth record say?
CuB2MoRu | Alexandria | PBE-GGA | optimized geometry; SG = P4/mmm, No. 123; formation energy from the elements = 8.3 eV per formula unit; D(E_F) = 5.8 states/eV per cell; uncorrected energy = -5.84 eV/atom; V = 74 Å³/cell
1.0
4.008 0.000 0.000
0.000 4.627 0.000
0.000 0.000 4.008
Cu B Ru Mo
1 2 1 1
Direct
0.000 0.500 0.000 Cu
0.500 0.000 0.000 B
0.000 0.000 0.500 B
0.500 0.500 0.500 Ru
0.000 0.000 0.000 Mo


> The lowest D(E_F) belongs to which entry?

HgAuBr2